Density functional theory data (GGA-PBE) for crystalline AcGa2HgAu5 at its relaxed geometry.

a b c (Å): 5.123 5.123 7.645
angles (deg): 90.00 90.00 90.00
Positions (direct):
1 Ac 0.000 0.000 0.000
2 Ga 0.500 0.500 0.338
3 Ga 0.500 0.500 0.662
4 Hg 0.000 0.000 0.500
5 Au 0.000 0.500 0.265
6 Au 0.000 0.500 0.735
7 Au 0.500 0.000 0.265
8 Au 0.500 0.000 0.735
9 Au 0.500 0.500 0.000

Values from the calculation:
calculated formation energy	-0.328	eV per atom
E_tot	-29.8	eV/cell
SG	No. 123

Density functional theory data (GGA-PBE) for crystalline TaBeB at its relaxed geometry.

a b c (Å): 3.245 3.245 11.680
angles (deg): 90.00 90.00 90.00
Positions (direct):
1 Ta 0.000 0.000 0.170
2 Ta 0.000 0.000 0.830
3 Ta 0.500 0.500 0.330
4 Ta 0.500 0.500 0.670
5 Be 0.000 0.500 0.000
6 Be 0.000 0.500 0.500
7 Be 0.500 0.000 0.000
8 Be 0.500 0.000 0.500
9 B 0.000 0.000 0.380
10 B 0.000 0.000 0.620
11 B 0.500 0.500 0.120
12 B 0.500 0.500 0.880

Values from the calculation:
calculated formation energy	-0.543	eV per atom
E_tot	-95.5	eV/cell
SG	No. 139

Density functional theory data (GGA-PBE) for crystalline Cs2SrDyI6 at its relaxed geometry.

a b c (Å): 8.875 12.565 8.888
angles (deg): 90.00 90.00 90.00
Positions (direct):
1 Cs 0.250 0.002 0.249
2 Cs 0.250 0.498 0.249
3 Cs 0.750 0.502 0.751
4 Cs 0.750 0.998 0.751
5 Sr 0.250 0.250 0.750
6 Sr 0.750 0.750 0.250
7 Dy 0.250 0.750 0.750
8 Dy 0.750 0.250 0.250
9 I 0.007 0.750 0.508
10 I 0.007 0.750 0.993
11 I 0.250 0.507 0.750
12 I 0.250 0.993 0.750
13 I 0.493 0.750 0.508
14 I 0.493 0.750 0.993
15 I 0.507 0.250 0.007
16 I 0.507 0.250 0.492
17 I 0.750 0.007 0.250
18 I 0.750 0.493 0.250
19 I 0.993 0.250 0.007
20 I 0.993 0.250 0.492

Values from the calculation:
E_tot	-63.0	eV/cell
SG	No. 59
raw formation energy	-1.419	eV/atom

Density functional theory data (GGA-PBE) for crystalline K12Hg3Pb5 at its relaxed geometry.

a b c (Å): 18.204 18.204 18.204
angles (deg): 109.47 109.47 109.47
Positions (direct):
1 K 0.049 0.222 0.115
2 K 0.049 0.327 0.934
3 K 0.066 0.615 0.393
4 K 0.066 0.951 0.673
5 K 0.107 0.722 0.673
6 K 0.107 0.885 0.434
7 K 0.115 0.049 0.222
8 K 0.115 0.566 0.893
9 K 0.173 0.222 0.607
10 K 0.173 0.451 0.566
11 K 0.222 0.115 0.049
12 K 0.222 0.607 0.173
13 K 0.278 0.327 0.893
14 K 0.278 0.451 0.385
15 K 0.327 0.893 0.278
16 K 0.327 0.934 0.049
17 K 0.385 0.278 0.451
18 K 0.385 0.607 0.934
19 K 0.393 0.066 0.615
20 K 0.393 0.827 0.778
21 K 0.434 0.107 0.885
22 K 0.434 0.827 0.549
23 K 0.451 0.385 0.278
24 K 0.451 0.566 0.173
25 K 0.549 0.434 0.827
26 K 0.549 0.615 0.722
27 K 0.566 0.173 0.451
28 K 0.566 0.893 0.115
29 K 0.607 0.173 0.222
30 K 0.607 0.934 0.385
31 K 0.615 0.393 0.066
32 K 0.615 0.722 0.549
33 K 0.673 0.066 0.951
34 K 0.673 0.107 0.722
35 K 0.722 0.549 0.615
36 K 0.722 0.673 0.107
37 K 0.778 0.393 0.827
38 K 0.778 0.885 0.951
39 K 0.827 0.549 0.434
40 K 0.827 0.778 0.393
41 K 0.885 0.434 0.107
42 K 0.885 0.951 0.778
43 K 0.893 0.115 0.566
44 K 0.893 0.278 0.327
45 K 0.934 0.049 0.327
46 K 0.934 0.385 0.607
47 K 0.951 0.673 0.066
48 K 0.951 0.778 0.885
49 Hg 0.125 0.250 0.375
50 Hg 0.125 0.375 0.750
51 Hg 0.250 0.375 0.125
52 Hg 0.250 0.875 0.625
53 Hg 0.375 0.125 0.250
54 Hg 0.375 0.750 0.125
55 Hg 0.625 0.250 0.875
56 Hg 0.625 0.875 0.750
57 Hg 0.750 0.125 0.375
58 Hg 0.750 0.625 0.875
59 Hg 0.875 0.625 0.250
60 Hg 0.875 0.750 0.625
61 Pb 0.000 0.000 0.000
62 Pb 0.000 0.000 0.500
63 Pb 0.000 0.500 0.000
64 Pb 0.000 0.500 0.500
65 Pb 0.125 0.750 0.875
66 Pb 0.125 0.875 0.250
67 Pb 0.250 0.125 0.875
68 Pb 0.250 0.625 0.375
69 Pb 0.375 0.250 0.625
70 Pb 0.375 0.625 0.750
71 Pb 0.500 0.000 0.000
72 Pb 0.500 0.000 0.500
73 Pb 0.500 0.500 0.000
74 Pb 0.500 0.500 0.500
75 Pb 0.625 0.375 0.250
76 Pb 0.625 0.750 0.375
77 Pb 0.750 0.375 0.625
78 Pb 0.750 0.875 0.125
79 Pb 0.875 0.125 0.750
80 Pb 0.875 0.250 0.125

Values from the calculation:
calculated formation energy	0.172	eV per atom
E_tot	-116.7	eV/cell
SG	No. 230